# 1
La4GeBiN PBE relaxed; space-group type = Cmcm, No. 63; uncorrected formation energy = -6.52 eV/f.u.; E_tot = -0.4520 Ry per atom
1.0
6.850 0.000 0.000
0.000 6.849 0.000
-3.425 0.000 8.790
Bi La Ge N
2 8 2 2
direct
0.608 0.750 0.215
0.392 0.250 0.785
0.000 0.000 0.500
0.064 0.750 0.128
0.500 0.500 0.500
0.585 0.250 0.170
0.936 0.250 0.872
0.415 0.750 0.830
0.500 0.000 0.500
0.000 0.500 0.500
0.886 0.750 0.771
0.114 0.250 0.229
0.720 0.250 0.439
0.280 0.750 0.561

***

# 2
LaGe2BiO8 PBE relaxed; space-group type = I-4m2, No. 119; uncorrected formation energy = -20.52 eV/f.u.; E_tot = -0.4791 Ry per atom
1.0
6.092 0.020 0.000
-2.684 5.468 0.000
-1.704 -2.744 5.165
O La Ge Bi
8 1 2 1
direct
0.929 0.615 0.686
0.521 0.694 0.827
0.929 0.242 0.314
0.306 0.479 0.173
0.867 0.694 0.173
0.306 0.133 0.827
0.385 0.071 0.314
0.758 0.071 0.686
0.250 0.750 0.500
0.500 0.500 0.000
0.750 0.250 0.500
0.000 0.000 0.000